one.
The following is a meta-GGA SCAN calculation of a crystal of TlPPt2 relaxed with PBEsol, from Alexandria via LeMat-Bulk.

```
TlPPt2
1.0
-1.949 1.949 4.374
1.949 -1.949 4.374
1.949 1.949 -4.374
Tl P Pt
1 1 2
Direct
0.000 0.000 0.000
0.750 0.250 0.500
0.250 0.750 0.500
0.500 0.500 0.000
```

Summary:
* total magnetic moment: 0.00 μB/cell

two.
The following is a meta-GGA SCAN calculation of a crystal of TlPPt2 relaxed with PBEsol, from Alexandria via LeMat-Bulk.

```
TlPPt2
1.0
3.986 -1.650 0.000
3.986 1.650 0.000
-0.779 0.000 5.747
Tl P Pt
1 1 2
Direct
0.000 0.000 0.000
0.213 0.213 0.554
0.508 0.508 0.581
0.751 0.751 0.280
```

Summary:
* total magnetic moment: 0.00 μB/cell

Stability, lowest: one

one.
The following is a meta-GGA SCAN calculation of a crystal of P2PtW relaxed with PBEsol, from Alexandria via LeMat-Bulk.

```
P2PtW
1.0
3.336 0.000 0.000
0.000 3.336 0.000
0.000 0.000 5.089
P Pt W
2 1 1
Direct
0.000 0.000 0.000
0.500 0.500 0.343
0.000 0.000 0.470
0.500 0.500 0.838
```

Summary:
* total magnetic moment: 0.00 μB/cell

two.
The following is a meta-GGA SCAN calculation of a crystal of P2PtW relaxed with PBEsol, from Alexandria via LeMat-Bulk.

```
P2PtW
1.0
0.000 3.081 3.081
3.081 0.000 3.081
3.081 3.081 0.000
P Pt W
2 1 1
Direct
0.000 0.000 0.000
0.250 0.250 0.250
0.750 0.750 0.750
0.500 0.500 0.500
```

Summary:
* total magnetic moment: 0.00 μB/cell

three.
The following is a meta-GGA SCAN calculation of a crystal of P2PtW relaxed with PBEsol, from Alexandria via LeMat-Bulk.

```
P2PtW
1.0
4.482 0.000 0.000
0.000 1.795 3.997
0.000 -1.795 3.997
P Pt W
2 1 1
Direct
0.000 0.000 0.000
0.500 0.177 0.177
0.500 0.869 0.869
0.000 0.306 0.306
```

Summary:
* total magnetic moment: 0.00 μB/cell

four.
The following is a meta-GGA SCAN calculation of a crystal of P2PtW relaxed with PBEsol, from Alexandria via LeMat-Bulk.

```
P2PtW
1.0
3.095 0.000 0.000
0.000 3.834 0.000
0.000 0.000 4.908
P Pt W
2 1 1
Direct
0.000 0.000 0.000
0.500 0.000 0.500
0.000 0.500 0.500
0.500 0.500 0.000
```

Summary:
* total magnetic moment: 0.00 μB/cell

Stability, lowest: two

one.
The following is a meta-GGA SCAN calculation of a crystal of P2PtW relaxed with PBEsol, from Alexandria via LeMat-Bulk.

```
P2PtW
1.0
0.000 3.021 3.021
3.021 0.000 3.021
3.021 3.021 0.000
P Pt W
2 1 1
Direct
0.250 0.250 0.250
0.750 0.750 0.750
0.000 0.000 0.000
0.500 0.500 0.500
```

Summary:
* total magnetic moment: 0.00 μB/cell

two.
The following is a meta-GGA SCAN calculation of a crystal of P2PtW relaxed with PBEsol, from Alexandria via LeMat-Bulk.

```
P2PtW
1.0
2.891 0.000 0.000
0.000 3.072 0.000
0.000 0.000 6.710
P Pt W
2 1 1
Direct
0.000 0.000 0.212
0.000 0.000 0.788
0.500 0.000 0.500
0.500 0.500 0.000
```

Summary:
* total magnetic moment: 0.00 μB/cell

Stability, lowest: one

one.
The following is a meta-GGA SCAN calculation of a crystal of YP2Pt relaxed with PBEsol, from Alexandria via LeMat-Bulk.

```
YP2Pt
1.0
-1.970 2.760 3.295
1.970 -2.760 3.295
1.970 2.760 -3.295
Y P Pt
1 2 1
Direct
0.000 0.000 0.000
0.305 0.805 0.500
0.695 0.195 0.500
0.500 0.500 0.000
```

Summary:
* total magnetic moment: 0.00 μB/cell

two.
The following is a meta-GGA SCAN calculation of a crystal of YP2Pt relaxed with PBEsol, from Alexandria via LeMat-Bulk.

```
YP2Pt
1.0
3.565 0.000 0.000
0.000 3.565 0.000
0.000 0.000 5.553
Y P Pt
1 2 1
Direct
0.000 0.000 0.000
0.000 0.000 0.506
0.500 0.500 0.175
0.500 0.500 0.612
```

Summary:
* total magnetic moment: 0.00 μB/cell

Stability, lowest: two

one.
The following is a meta-GGA SCAN calculation of a crystal of ZrP2Pt relaxed with PBEsol, from Alexandria via LeMat-Bulk.

```
ZrP2Pt
1.0
4.303 0.000 0.000
0.000 4.303 0.000
0.000 0.000 3.252
Zr P Pt
1 2 1
Direct
0.000 0.000 0.000
0.000 0.500 0.500
0.500 0.000 0.500
0.500 0.500 0.000
```

Summary:
* total magnetic moment: 0.00 μB/cell

two.
The following is a meta-GGA SCAN calculation of a crystal of ZrP2Pt relaxed with PBEsol, from Alexandria via LeMat-Bulk.

```
ZrP2Pt
1.0
-1.736 1.759 5.172
1.736 -1.759 5.172
1.736 1.759 -5.172
Zr P Pt
1 2 1
Direct
0.000 0.000 0.000
0.312 0.812 0.500
0.580 0.580 0.000
0.756 0.256 0.500
```

Summary:
* total magnetic moment: 0.00 μB/cell

Stability, lowest: one

one.
The following is a meta-GGA SCAN calculation of a crystal of Re2SbP relaxed with PBEsol, from Alexandria via LeMat-Bulk.

```
Re2SbP
1.0
0.000 3.107 3.107
3.107 0.000 3.107
3.107 3.107 0.000
Re Sb P
2 1 1
Direct
0.250 0.250 0.250
0.750 0.750 0.750
0.000 0.000 0.000
0.500 0.500 0.500
```

Summary:
* total magnetic moment: 0.00 μB/cell

two.
The following is a meta-GGA SCAN calculation of a crystal of Re2SbP relaxed with PBEsol, from Alexandria via LeMat-Bulk.

```
Re2SbP
1.0
1.524 -2.518 0.000
1.524 2.518 0.000
0.000 0.000 8.454
Re Sb P
2 1 1
Direct
0.000 0.000 0.206
0.000 0.000 0.794
0.500 0.500 0.500
0.500 0.500 0.000
```

Summary:
* total magnetic moment: 0.00 μB/cell

Stability, lowest: two